Record 1
{
  "formula": "PmPr6Nd",
  "functional": "GGA-PBE",
  "state": "relaxed",
  "energy_ev_per_atom": -4.76,
  "magmom_total_mub_per_fu": 0.0,
  "space_group": "P4/mmm",
  "cell": [[5.234, 0.000, 0.000], [0.000, 5.234, 0.000], [0.000, 0.000, 10.466]],
  "species": ["Pm", "Pr", "Pr", "Pr", "Pr", "Pr", "Pr", "Nd"],
  "fractional_positions": [[0.000, 0.000, 0.000], [0.000, 0.500, 0.250], [0.000, 0.500, 0.750], [0.500, 0.000, 0.250], [0.500, 0.000, 0.750], [0.500, 0.500, 0.000], [0.500, 0.500, 0.500], [0.000, 0.000, 0.500]]
}

Record 2
{
  "formula": "Ac2NiGe4Rh3",
  "functional": "GGA-PBE",
  "state": "relaxed",
  "energy_ev_per_atom": -6.21,
  "magmom_total_mub_per_fu": 0.0,
  "space_group": "P-4m2",
  "cell": [[4.428, 0.000, 0.000], [0.000, 4.428, 0.000], [0.000, 0.000, 10.007]],
  "species": ["Ac", "Ac", "Ni", "Ge", "Ge", "Ge", "Ge", "Rh", "Rh", "Rh"],
  "fractional_positions": [[0.000, 0.500, 0.249], [0.500, 0.000, 0.751], [0.500, 0.500, 0.000], [0.000, 0.000, 0.500], [0.000, 0.500, 0.882], [0.500, 0.000, 0.118], [0.500, 0.500, 0.500], [0.000, 0.000, 0.000], [0.000, 0.500, 0.627], [0.500, 0.000, 0.373]]
}

Record 3
{
  "formula": "SbOs2Pt",
  "functional": "GGA-PBE",
  "state": "relaxed",
  "e_form_raw_mev_per_atom": 467.6,
  "magmom_total_mub_per_fu": 0.0,
  "space_group": "I-4m2",
  "cell": [[-2.012, 2.012, 3.968], [2.012, -2.012, 3.968], [2.012, 2.012, -3.968]],
  "species": ["Sb", "Os", "Os", "Pt"],
  "fractional_positions": [[0.000, 0.000, 0.000], [0.500, 0.500, 0.000], [0.750, 0.250, 0.500], [0.250, 0.750, 0.500]]
}

Question: What is the formula in the third record?
Answer: SbOs2Pt

Question: Number 1 is which compound?
Answer: PmPr6Nd